1.
PrMg2Al | PBE | optimized geometry

- ΔE_f: -189 meV per atom
- Magnetization: 0.000 μB per cell

a b c (Å): 4.520 4.520 4.878
angles (deg): 90.00 90.00 90.00
Space group P4/mmm (No. 123)
Inequivalent atoms, fractional coordinates:
Pr 0.000 0.000 0.000 (multiplicity 1)
Mg 0.000 0.500 0.500 (multiplicity 2)
Al 0.500 0.500 0.000 (multiplicity 1)

***

2.
AcZrRuO6 | PBE | optimized geometry

- Raw formation energy: -21.80 eV per formula unit
- Magnetization: 3.000 μB per cell

a b c (Å): 5.4080 5.4080 5.3836
angles (deg): 90.00 90.00 120.00
Space group P312 (No. 149)
Inequivalent atoms, fractional coordinates:
Ac 0.0000 0.0000 0.0000 (multiplicity 1)
Zr 0.3333 0.6667 0.5000 (multiplicity 1)
Ru 0.6667 0.3333 0.5000 (multiplicity 1)
O 0.3783 0.0182 0.7098 (multiplicity 6)

***

3.
LiTlGaPt | PBE | optimized geometry

- ΔE_f: -344 meV per atom
- Magnetization: 0.000 μB per cell

a b c (Å): 6.550 6.550 6.550
angles (deg): 90.00 90.00 90.00
Space group F-43m (No. 216)
Inequivalent atoms, fractional coordinates:
Li 0.000 0.000 0.000 (multiplicity 4)
Tl 0.250 0.250 0.250 (multiplicity 4)
Ga 0.250 0.250 0.750 (multiplicity 4)
Pt 0.000 0.000 0.500 (multiplicity 4)